First-principles (GGA-PBE) data for a relaxed YMnAu crystal, as listed in the Alexandria database.

Properties
Total DFT energy (no corrections) ... -6.5893 eV per atom

Cell and atoms, written as CIF:
```
data_YMnAu
_chemical_formula_sum 'Y1 Mn1 Au1'
_space_group_name_H-M_alt 'P 3 m 1'
_space_group_IT_number 156
_space_group_name_Hall 'P 3 -2"'
_cell_length_a 4.5557
_cell_length_b 4.5557
_cell_length_c 3.5921
_cell_angle_alpha 90.00
_cell_angle_beta 90.00
_cell_angle_gamma 120.00
loop_
_atom_site_label
_atom_site_type_symbol
_atom_site_fract_x
_atom_site_fract_y
_atom_site_fract_z
Y1 Y 0.0000 0.0000 0.0000
Mn1 Mn 0.3333 0.6667 0.4992
Au1 Au 0.6667 0.3333 0.5008
```

***

First-principles (GGA-PBE) data for a relaxed YMnAu2 crystal, as listed in the Alexandria database.

Properties
Total DFT energy (no corrections) ... -5.5643 eV per atom

Cell and atoms, written as CIF:
```
data_YMnAu2
_chemical_formula_sum 'Y4 Mn4 Au8'
_space_group_name_H-M_alt 'I -4 2 d'
_space_group_IT_number 122
_space_group_name_Hall 'I -4 2bw'
_cell_length_a 4.6857
_cell_length_b 4.6857
_cell_length_c 17.5135
_cell_angle_alpha 90.00
_cell_angle_beta 90.00
_cell_angle_gamma 90.00
loop_
_atom_site_label
_atom_site_type_symbol
_atom_site_fract_x
_atom_site_fract_y
_atom_site_fract_z
Y1 Y 0.0000 0.0000 0.0000
Mn1 Mn 0.0000 0.0000 0.5000
Au1 Au 0.1799 0.2500 0.6250
```

***

First-principles (GGA-PBE) data for a relaxed YMn2Au crystal, as listed in the Alexandria database.

Properties
Total DFT energy (no corrections) ... -7.0011 eV per atom

Cell and atoms, written as CIF:
```
data_YMn2Au
_chemical_formula_sum 'Y1 Mn2 Au1'
_space_group_name_H-M_alt 'P 4/m m m'
_space_group_IT_number 123
_space_group_name_Hall '-P 4 2'
_cell_length_a 4.1985
_cell_length_b 4.1985
_cell_length_c 4.0725
_cell_angle_alpha 90.00
_cell_angle_beta 90.00
_cell_angle_gamma 90.00
loop_
_atom_site_label
_atom_site_type_symbol
_atom_site_fract_x
_atom_site_fract_y
_atom_site_fract_z
Y1 Y 0.0000 0.0000 0.0000
Mn1 Mn 0.0000 0.5000 0.5000
Au1 Au 0.5000 0.5000 0.0000
```

***

First-principles (GGA-PBE) data for a relaxed YMnAu2 crystal, as listed in the Alexandria database.

Properties
Total DFT energy (no corrections) ... -5.8857 eV per atom

Cell and atoms, written as CIF:
```
data_YMnAu2
_chemical_formula_sum 'Y2 Mn2 Au4'
_space_group_name_H-M_alt 'I -4 m 2'
_space_group_IT_number 119
_space_group_name_Hall 'I -4 -2'
_cell_length_a 4.2588
_cell_length_b 4.2588
_cell_length_c 8.6116
_cell_angle_alpha 90.00
_cell_angle_beta 90.00
_cell_angle_gamma 90.00
loop_
_atom_site_label
_atom_site_type_symbol
_atom_site_fract_x
_atom_site_fract_y
_atom_site_fract_z
Y1 Y 0.0000 0.0000 0.0000
Mn1 Mn 0.0000 0.5000 0.7500
Au1 Au 0.0000 0.0000 0.5000
Au2 Au 0.0000 0.5000 0.2500
```

***

First-principles (GGA-PBE) data for a relaxed YMn2Au crystal, as listed in the Alexandria database.

Properties
Total DFT energy (no corrections) ... -7.1367 eV per atom

Cell and atoms, written as CIF:
```
data_YMn2Au
_chemical_formula_sum 'Y2 Mn4 Au2'
_space_group_name_H-M_alt 'C 1 m 1'
_space_group_IT_number 8
_space_group_name_Hall 'C -2y'
_cell_length_a 7.5518
_cell_length_b 4.3630
_cell_length_c 5.4207
_cell_angle_alpha 90.00
_cell_angle_beta 117.75
_cell_angle_gamma 90.00
loop_
_atom_site_label
_atom_site_type_symbol
_atom_site_fract_x
_atom_site_fract_y
_atom_site_fract_z
Y1 Y 0.0000 0.0000 0.0000
Mn1 Mn 0.2985 0.5000 0.3956
Mn2 Mn 0.4826 0.0000 0.4476
Au1 Au 0.2119 0.0000 0.6356
```

***

First-principles (GGA-PBE) data for a relaxed YMnAu crystal, as listed in the Alexandria database.

Properties
Total DFT energy (no corrections) ... -5.9760 eV per atom

Cell and atoms, written as CIF:
```
data_YMnAu
_chemical_formula_sum 'Y4 Mn4 Au4'
_space_group_name_H-M_alt 'F -4 3 m'
_space_group_IT_number 216
_space_group_name_Hall 'F -4 2 3'
_cell_length_a 6.7017
_cell_length_b 6.7017
_cell_length_c 6.7017
_cell_angle_alpha 90.00
_cell_angle_beta 90.00
_cell_angle_gamma 90.00
loop_
_atom_site_label
_atom_site_type_symbol
_atom_site_fract_x
_atom_site_fract_y
_atom_site_fract_z
Y1 Y 0.0000 0.0000 0.0000
Mn1 Mn 0.2500 0.2500 0.7500
Au1 Au 0.2500 0.2500 0.2500
```

***

First-principles (GGA-PBE) data for a relaxed Y4MnAu crystal, as listed in the Alexandria database.

Properties
Total DFT energy (no corrections) ... -5.8196 eV per atom

Cell and atoms, written as CIF:
```
data_Y4MnAu
_chemical_formula_sum 'Y16 Mn4 Au4'
_space_group_name_H-M_alt 'F -4 3 m'
_space_group_IT_number 216
_space_group_name_Hall 'F -4 2 3'
_cell_length_a 8.7195
_cell_length_b 8.7195
_cell_length_c 8.7195
_cell_angle_alpha 90.00
_cell_angle_beta 90.00
_cell_angle_gamma 90.00
loop_
_atom_site_label
_atom_site_type_symbol
_atom_site_fract_x
_atom_site_fract_y
_atom_site_fract_z
Y1 Y 0.1252 0.1252 0.1252
Mn1 Mn 0.0000 0.0000 0.5000
Au1 Au 0.2500 0.2500 0.7500
```

***

First-principles (GGA-PBE) data for a relaxed YMnAu2 crystal, as listed in the Alexandria database.

Properties
Total DFT energy (no corrections) ... -5.8973 eV per atom

Cell and atoms, written as CIF:
```
data_YMnAu2
_chemical_formula_sum 'Y1 Mn1 Au2'
_space_group_name_H-M_alt 'P 1 m 1'
_space_group_IT_number 6
_space_group_name_Hall 'P -2y'
_cell_length_a 3.5569
_cell_length_b 4.4793
_cell_length_c 5.5880
_cell_angle_alpha 90.00
_cell_angle_beta 108.46
_cell_angle_gamma 90.00
loop_
_atom_site_label
_atom_site_type_symbol
_atom_site_fract_x
_atom_site_fract_y
_atom_site_fract_z
Y1 Y 0.0000 0.0000 0.0000
Mn1 Mn 0.2919 0.5000 0.5857
Au1 Au 0.5661 0.5000 0.1323
Au2 Au 0.7326 0.0000 0.4690
```

***

Repeat the fourth record exactly.
First-principles (GGA-PBE) data for a relaxed YMnAu2 crystal, as listed in the Alexandria database.

Properties
Total DFT energy (no corrections) ... -5.8857 eV per atom

Cell and atoms, written as CIF:
```
data_YMnAu2
_chemical_formula_sum 'Y2 Mn2 Au4'
_space_group_name_H-M_alt 'I -4 m 2'
_space_group_IT_number 119
_space_group_name_Hall 'I -4 -2'
_cell_length_a 4.2588
_cell_length_b 4.2588
_cell_length_c 8.6116
_cell_angle_alpha 90.00
_cell_angle_beta 90.00
_cell_angle_gamma 90.00
loop_
_atom_site_label
_atom_site_type_symbol
_atom_site_fract_x
_atom_site_fract_y
_atom_site_fract_z
Y1 Y 0.0000 0.0000 0.0000
Mn1 Mn 0.0000 0.5000 0.7500
Au1 Au 0.0000 0.0000 0.5000
Au2 Au 0.0000 0.5000 0.2500
```

***

Please write out number 8 again, unchanged.
First-principles (GGA-PBE) data for a relaxed YMnAu2 crystal, as listed in the Alexandria database.

Properties
Total DFT energy (no corrections) ... -5.8973 eV per atom

Cell and atoms, written as CIF:
```
data_YMnAu2
_chemical_formula_sum 'Y1 Mn1 Au2'
_space_group_name_H-M_alt 'P 1 m 1'
_space_group_IT_number 6
_space_group_name_Hall 'P -2y'
_cell_length_a 3.5569
_cell_length_b 4.4793
_cell_length_c 5.5880
_cell_angle_alpha 90.00
_cell_angle_beta 108.46
_cell_angle_gamma 90.00
loop_
_atom_site_label
_atom_site_type_symbol
_atom_site_fract_x
_atom_site_fract_y
_atom_site_fract_z
Y1 Y 0.0000 0.0000 0.0000
Mn1 Mn 0.2919 0.5000 0.5857
Au1 Au 0.5661 0.5000 0.1323
Au2 Au 0.7326 0.0000 0.4690
```

***

The highest total DFT energy (no corrections) belongs to which entry?
number 2

***

Repeat the first record exactly.
First-principles (GGA-PBE) data for a relaxed YMnAu crystal, as listed in the Alexandria database.

Properties
Total DFT energy (no corrections) ... -6.5893 eV per atom

Cell and atoms, written as CIF:
```
data_YMnAu
_chemical_formula_sum 'Y1 Mn1 Au1'
_space_group_name_H-M_alt 'P 3 m 1'
_space_group_IT_number 156
_space_group_name_Hall 'P 3 -2"'
_cell_length_a 4.5557
_cell_length_b 4.5557
_cell_length_c 3.5921
_cell_angle_alpha 90.00
_cell_angle_beta 90.00
_cell_angle_gamma 120.00
loop_
_atom_site_label
_atom_site_type_symbol
_atom_site_fract_x
_atom_site_fract_y
_atom_site_fract_z
Y1 Y 0.0000 0.0000 0.0000
Mn1 Mn 0.3333 0.6667 0.4992
Au1 Au 0.6667 0.3333 0.5008
```